This record from Alexandria describes a relaxed structure of Cd6BiAu3. The functional is PBE.

a b c (Å): 8.721 4.692 11.248
angles (deg): 90.00 91.35 90.00
Fractional positions:
Cd 0.006 0.250 0.412
Cd 0.094 0.250 0.950
Cd 0.124 0.750 0.270
Cd 0.228 0.750 0.793
Cd 0.353 0.750 0.536
Cd 0.432 0.250 0.068
Cd 0.568 0.750 0.932
Cd 0.647 0.250 0.464
Cd 0.772 0.250 0.207
Cd 0.876 0.250 0.730
Cd 0.906 0.750 0.050
Cd 0.994 0.750 0.588
Bi 0.483 0.750 0.262
Bi 0.517 0.250 0.738
Au 0.183 0.250 0.639
Au 0.246 0.750 0.040
Au 0.327 0.250 0.380
Au 0.673 0.750 0.620
Au 0.754 0.250 0.960
Au 0.817 0.750 0.361

Results
ΔE_f = -1.02 eV per formula unit
SG = P2_1/m, No. 11